Entry 1:
Compound: Nb3FeSe
Source: Alexandria
Functional: PBE-GGA
Structure: relaxed

abc: 4.6884 4.6884 4.6884
angles: 90.00 90.00 90.00
Space group Pm-3m (No. 221)
Asymmetric unit:
1 Nb 0.0000 0.0000 0.5000 x3
2 Fe 0.5000 0.5000 0.5000 x1
3 Se 0.0000 0.0000 0.0000 x1


Entry 2:
Compound: NbFe3Se
Source: Alexandria
Functional: PBE-GGA
Structure: relaxed

abc: 4.5839 4.5839 4.5839
angles: 90.00 90.00 90.00
Space group Pm-3m (No. 221)
Asymmetric unit:
1 Nb 0.0000 0.0000 0.0000 x1
2 Fe 0.0000 0.0000 0.5000 x3
3 Se 0.5000 0.5000 0.5000 x1


Entry 3:
Compound: Nb2FeSe
Source: Alexandria
Functional: PBE-GGA
Structure: relaxed

abc: 5.5402 5.5402 11.6517
angles: 90.00 90.00 90.00
Space group I-42d (No. 122)
Asymmetric unit:
1 Nb 0.2062 0.2500 0.1250 x8
2 Fe 0.0000 0.0000 0.0000 x4
3 Se 0.0000 0.0000 0.5000 x4


Entry 4:
Compound: Nb2FeSe
Source: Alexandria
Functional: PBE-GGA
Structure: relaxed

abc: 3.7606 3.7606 21.4749
angles: 90.00 90.00 120.00
Space group R-3m (No. 166, hexagonal axes)
Asymmetric unit:
1 Nb 0.0000 0.0000 0.1159 x6
2 Fe 0.0000 0.0000 0.5000 x3
3 Se 0.0000 0.0000 0.0000 x3


no.,raw total energy (eV for the cell shown)
1,-36.4
2,-31.5
3,-119.7
4,-94.6